# 1
# PBE NiTeIr4, optimized geometry
# **DOS(E_F)**: 44.7 states/eV per cell
data_NiTeIr4
_cell_length_a 7.397
_cell_length_b 7.397
_cell_length_c 7.397
_cell_angle_alpha 90.00
_cell_angle_beta 90.00
_cell_angle_gamma 90.00
_space_group_name_H-M_alt 'F -4 3 m'
_space_group_IT_number 216
_space_group_name_Hall 'F -4 2 3'
loop_
_atom_site_label
_atom_site_fract_x
_atom_site_fract_y
_atom_site_fract_z
_atom_site_occupancy
Ni1 0.000 0.000 0.000 1
Te1 0.250 0.250 0.750 1
Ir1 0.126 0.126 0.374 1

# 2
# PBE RbFeH2, optimized geometry
# **Offset from the most stable computed form**: 0.0000 eV/atom
# **DOS(E_F)**: 5.6 states/eV per cell
data_RbFeH2
_cell_length_a 5.600
_cell_length_b 5.600
_cell_length_c 7.826
_cell_angle_alpha 90.00
_cell_angle_beta 90.00
_cell_angle_gamma 90.00
_space_group_name_H-M_alt 'I -4 2 d'
_space_group_IT_number 122
_space_group_name_Hall 'I -4 2bw'
loop_
_atom_site_label
_atom_site_fract_x
_atom_site_fract_y
_atom_site_fract_z
_atom_site_occupancy
Rb1 0.000 0.000 0.000 1
Fe1 0.000 0.000 0.500 1
H1 0.056 0.250 0.625 1

# 3
# PBE Sm4Co3, optimized geometry
# **DOS(E_F)**: 16.5 states/eV per cell
# **Formation enthalpy at 0 K**: -7 kJ per mole of atoms
data_Sm4Co3
_cell_length_a 11.5571
_cell_length_b 11.5571
_cell_length_c 4.0591
_cell_angle_alpha 90.00
_cell_angle_beta 90.00
_cell_angle_gamma 120.00
_space_group_name_H-M_alt 'P -3'
_space_group_IT_number 147
loop_
_space_group_symop_operation_xyz
'x,y,z'
'-x,-y,-z'
'-y,x-y,z'
'y,-x+y,-z'
'-x+y,-x,z'
'x-y,x,-z'
loop_
_atom_site_label
_atom_site_fract_x
_atom_site_fract_y
_atom_site_fract_z
_atom_site_occupancy
Sm1 0.0312 0.7826 0.2493 1
Sm2 0.1354 0.5155 0.2517 1
Co1 0.0000 0.0000 0.5000 1
Co2 0.1629 0.7217 0.7481 1
Co3 0.3333 0.6667 0.7528 1

# 4
# PBE TiNiSbRh2, optimized geometry
# **DOS(E_F)**: 2.8 states/eV per cell
data_TiNiSbRh2
_cell_length_a 4.582
_cell_length_b 4.582
_cell_length_c 4.450
_cell_angle_alpha 90.00
_cell_angle_beta 90.00
_cell_angle_gamma 90.00
_space_group_name_H-M_alt 'P 4/m m m'
_space_group_IT_number 123
_space_group_name_Hall '-P 4 2'
loop_
_atom_site_label
_atom_site_fract_x
_atom_site_fract_y
_atom_site_fract_z
_atom_site_occupancy
Ti1 0.000 0.000 0.000 1
Ni1 0.000 0.000 0.500 1
Sb1 0.500 0.500 0.500 1
Rh1 0.000 0.500 0.000 1

# 5
# PBE ZnGaCuIr, optimized geometry
# **Offset from the most stable computed form**: 0.0000 eV/atom
# **DOS(E_F)**: 2.9 states/eV per cell
# **Formation enthalpy at 0 K**: -22 kJ per mole of atoms
data_ZnGaCuIr
_cell_length_a 3.860
_cell_length_b 3.860
_cell_length_c 7.401
_cell_angle_alpha 90.00
_cell_angle_beta 90.00
_cell_angle_gamma 90.00
_space_group_name_H-M_alt 'I -4 m 2'
_space_group_IT_number 119
_space_group_name_Hall 'I -4 -2'
loop_
_atom_site_label
_atom_site_fract_x
_atom_site_fract_y
_atom_site_fract_z
_atom_site_occupancy
Zn1 0.000 0.000 0.000 1
Ga1 0.000 0.000 0.500 1
Cu1 0.000 0.500 0.250 1
Ir1 0.000 0.500 0.750 1

# 6
# PBE Cs2RbBrF, optimized geometry
# **Offset from the most stable computed form**: 0.0617 eV/atom
# **DOS(E_F)**: 1.5 states/eV per cell
data_Cs2RbBrF
_cell_length_a 5.631
_cell_length_b 5.631
_cell_length_c 8.743
_cell_angle_alpha 90.00
_cell_angle_beta 90.00
_cell_angle_gamma 90.00
_space_group_name_H-M_alt 'P 4/m m m'
_space_group_IT_number 123
_space_group_name_Hall '-P 4 2'
loop_
_atom_site_label
_atom_site_fract_x
_atom_site_fract_y
_atom_site_fract_z
_atom_site_occupancy
Cs1 0.000 0.500 0.000 1
Rb1 0.000 0.000 0.500 1
Br1 0.500 0.500 0.500 1
F1 0.500 0.500 0.000 1

# 7
# PBE CoAs, optimized geometry
# **DOS(E_F)**: 5.1 states/eV per cell
# **Formation enthalpy at 0 K**: 4 kJ per mole of atoms
data_CoAs
_cell_length_a 2.9238
_cell_length_b 2.9238
_cell_length_c 10.7519
_cell_angle_alpha 90.00
_cell_angle_beta 90.00
_cell_angle_gamma 120.00
_space_group_name_H-M_alt 'R -3 m'
_space_group_IT_number 166
_space_group_name_Hall '-R 3 2"'
loop_
_atom_site_label
_atom_site_fract_x
_atom_site_fract_y
_atom_site_fract_z
_atom_site_occupancy
Co1 0.0000 0.0000 0.0000 1
As1 0.0000 0.0000 0.5000 1

# 8
# PBE Sm2YNi6, optimized geometry
# **DOS(E_F)**: 10.0 states/eV per cell
# **Formation enthalpy at 0 K**: -34 kJ per mole of atoms
data_Sm2YNi6
_cell_length_a 6.9163
_cell_length_b 6.9163
_cell_length_c 3.8882
_cell_angle_alpha 90.00
_cell_angle_beta 90.00
_cell_angle_gamma 120.00
_space_group_name_H-M_alt 'P 6/m m m'
_space_group_IT_number 191
_space_group_name_Hall '-P 6 2'
loop_
_atom_site_label
_atom_site_fract_x
_atom_site_fract_y
_atom_site_fract_z
_atom_site_occupancy
Sm1 0.3333 0.6667 0.0000 1
Y1 0.0000 0.0000 0.0000 1
Ni1 0.0000 0.3325 0.5000 1

# 9
# PBE Cs3CuAg2F9, optimized geometry
# **DOS(E_F)**: 3.6 states/eV per cell
data_Cs3CuAg2F9
_cell_length_a 6.2411
_cell_length_b 6.2411
_cell_length_c 7.6593
_cell_angle_alpha 90.00
_cell_angle_beta 90.00
_cell_angle_gamma 120.00
_space_group_name_H-M_alt 'P -3 m 1'
_space_group_IT_number 164
_space_group_name_Hall '-P 3 2"'
loop_
_atom_site_label
_atom_site_fract_x
_atom_site_fract_y
_atom_site_fract_z
_atom_site_occupancy
Cs1 0.0000 0.0000 0.0000 1
Cs2 0.3333 0.6667 0.6705 1
Cu1 0.0000 0.0000 0.5000 1
Ag1 0.3333 0.6667 0.1787 1
F1 0.0000 0.5000 0.0000 1
F2 0.1533 0.3066 0.3497 1

# 10
# PBE Sc4SiS2, optimized geometry
# **DOS(E_F)**: 18.4 states/eV per cell
data_Sc4SiS2
_cell_length_a 3.722
_cell_length_b 11.945
_cell_length_c 12.174
_cell_angle_alpha 90.00
_cell_angle_beta 90.00
_cell_angle_gamma 90.00
_space_group_name_H-M_alt 'C m c m'
_space_group_IT_number 63
_space_group_name_Hall '-C 2c 2'
loop_
_atom_site_label
_atom_site_fract_x
_atom_site_fract_y
_atom_site_fract_z
_atom_site_occupancy
Sc1 0.000 0.000 0.000 1
Sc2 0.000 0.273 0.123 1
Sc3 0.000 0.448 0.750 1
Si1 0.000 0.109 0.750 1
S1 0.000 0.364 0.562 1

# 11
Sn2N2O | PBE | optimized geometry

CIF file:
```
data_Sn2N2O
_cell_length_a 6.455
_cell_length_b 6.455
_cell_length_c 27.457
_cell_angle_alpha 90.00
_cell_angle_beta 90.00
_cell_angle_gamma 90.00
_space_group_name_H-M_alt 'I 41/a m d'
_space_group_IT_number 141
loop_
_space_group_symop_operation_xyz
'x,y,z'
'-x,-y,-z'
'-y+1/4,x+3/4,z+1/4'
'y+1/4,-x+3/4,-z+1/4'
'-x+1/2,-y,z+1/2'
'x+1/2,y,-z+1/2'
'y+1/4,-x+1/4,z+3/4'
'-y+1/4,x+1/4,-z+3/4'
'x,-y,-z'
'-x,y,z'
'-y+1/4,-x+1/4,-z+3/4'
'y+1/4,x+1/4,z+3/4'
'-x+1/2,y,-z+1/2'
'x+1/2,-y,z+1/2'
'y+1/4,x+3/4,-z+1/4'
'-y+1/4,-x+3/4,z+1/4'
'x+1/2,y+1/2,z+1/2'
'-x+1/2,-y+1/2,-z+1/2'
'-y+3/4,x+1/4,z+3/4'
'y+3/4,-x+1/4,-z+3/4'
'-x,-y+1/2,z'
'x,y+1/2,-z'
'y+3/4,-x+3/4,z+1/4'
'-y+3/4,x+3/4,-z+1/4'
'x+1/2,-y+1/2,-z+1/2'
'-x+1/2,y+1/2,z+1/2'
'-y+3/4,-x+3/4,-z+1/4'
'y+3/4,x+3/4,z+1/4'
'-x,y+1/2,-z'
'x,-y+1/2,z'
'y+3/4,x+1/4,-z+3/4'
'-y+3/4,-x+1/4,z+3/4'
loop_
_atom_site_label
_atom_site_fract_x
_atom_site_fract_y
_atom_site_fract_z
_atom_site_occupancy
Sn1 0.000 0.000 0.000 1
Sn2 0.000 0.001 0.332 1
Sn3 0.000 0.250 0.206 1
N1 0.000 0.016 0.749 1
N2 0.000 0.017 0.412 1
O1 0.000 0.038 0.077 1
```

# 12
# PBE LaYSc2Se4, optimized geometry
# **DOS(E_F)**: 5.1 states/eV per cell
data_LaYSc2Se4
_cell_length_a 6.986
_cell_length_b 3.989
_cell_length_c 7.073
_cell_angle_alpha 90.00
_cell_angle_beta 108.86
_cell_angle_gamma 90.00
_space_group_name_H-M_alt 'P 1 2/m 1'
_space_group_IT_number 10
loop_
_space_group_symop_operation_xyz
'x,y,z'
'-x,-y,-z'
'-x,y,-z'
'x,-y,z'
loop_
_atom_site_label
_atom_site_fract_x
_atom_site_fract_y
_atom_site_fract_z
_atom_site_occupancy
La1 0.000 0.000 0.000 1
Y1 0.500 0.500 0.000 1
Sc1 0.000 0.500 0.500 1
Sc2 0.500 0.000 0.500 1
Se1 0.250 0.000 0.728 1
Se2 0.267 0.500 0.278 1

| no. | electronic total energy (eV/cell) |
| --- | --- |
| 1 | -161.7 |
| 2 | -60.6 |
| 3 | -122.2 |
| 4 | -30.2 |
| 5 | -36.3 |
| 6 | -13.8 |
| 7 | -35.0 |
| 8 | -53.8 |
| 9 | -58.3 |
| 10 | -193.6 |
| 11 | -500.4 |
| 12 | -51.7 |